(1)
Compound: Li2CeIn4Pd
Source: Alexandria
Functional: GGA-PBE
Structure: optimized geometry

a = 4.665 Å, b = 4.665 Å, c = 9.638 Å
α = 75.99°, β = 75.99°, γ = 60.00°
Positions (direct):
Li  0.765  0.765  0.706
Li  0.235  0.235  0.294
Ce  0.000  0.000  0.000
In  0.398  0.398  0.806
In  0.872  0.872  0.383
In  0.128  0.128  0.617
In  0.602  0.602  0.194
Pd  0.500  0.500  0.500

=====

(2)
Compound: Li2CePm2In2
Source: Alexandria
Functional: GGA-PBE
Structure: optimized geometry

a = 5.005 Å, b = 5.005 Å, c = 9.064 Å
α = 73.97°, β = 73.97°, γ = 60.00°
Positions (direct):
Li  0.606  0.606  0.181
Li  0.394  0.394  0.819
Ce  0.000  0.000  0.000
Pm  0.126  0.126  0.621
Pm  0.874  0.874  0.379
In  0.735  0.735  0.794
In  0.265  0.265  0.206

=====

(3)
Compound: Li2CePr2In2
Source: Alexandria
Functional: GGA-PBE
Structure: optimized geometry

a = 5.032 Å, b = 5.032 Å, c = 9.131 Å
α = 74.00°, β = 74.00°, γ = 60.00°
Positions (direct):
Li  0.608  0.608  0.175
Li  0.392  0.392  0.825
Ce  0.000  0.000  0.000
Pr  0.126  0.126  0.622
Pr  0.874  0.874  0.378
In  0.734  0.734  0.798
In  0.266  0.266  0.202

=====

(4)
Compound: LiCeInPt
Source: Alexandria
Functional: GGA-PBE
Structure: optimized geometry

a = 4.846 Å, b = 4.846 Å, c = 4.846 Å
α = 60.00°, β = 60.00°, γ = 60.00°
Positions (direct):
Li  0.250  0.250  0.250
Ce  0.500  0.500  0.500
Pt  0.750  0.750  0.750
In  0.000  0.000  0.000

=====

(5)
Compound: LiCePuIn
Source: Alexandria
Functional: GGA-PBE
Structure: optimized geometry

a = 5.131 Å, b = 5.131 Å, c = 5.131 Å
α = 60.00°, β = 60.00°, γ = 60.00°
Positions (direct):
In  0.000  0.000  0.000
Li  0.250  0.250  0.250
Ce  0.500  0.500  0.500
Pu  0.750  0.750  0.750

=====

(6)
Compound: LiCeInRh
Source: Alexandria
Functional: GGA-PBE
Structure: optimized geometry

a = 4.805 Å, b = 4.805 Å, c = 4.805 Å
α = 60.00°, β = 60.00°, γ = 60.00°
Positions (direct):
Li  0.000  0.000  0.000
Rh  0.500  0.500  0.500
Ce  0.750  0.750  0.750
In  0.250  0.250  0.250

=====

(7)
Compound: LiCeInRu
Source: Alexandria
Functional: GGA-PBE
Structure: optimized geometry

a = 4.789 Å, b = 4.789 Å, c = 4.789 Å
α = 60.00°, β = 60.00°, γ = 60.00°
Positions (direct):
Ru  0.750  0.750  0.750
Li  0.250  0.250  0.250
Ce  0.500  0.500  0.500
In  0.000  0.000  0.000

=====

(8)
Compound: LiCeIn4S8
Source: Alexandria
Functional: GGA-PBE
Structure: optimized geometry

Computed properties:
- energy relative to the elements, uncorrected (meV per atom) = -876

a = 7.822 Å, b = 7.822 Å, c = 7.893 Å
α = 60.30°, β = 60.30°, γ = 60.00°
Positions (direct):
Li  0.375  0.375  0.875
Ce  0.005  0.005  0.984
In  0.626  0.626  0.122
In  0.006  0.482  0.507
In  0.482  0.006  0.507
In  0.006  0.006  0.507
S  0.253  0.762  0.732
S  0.762  0.253  0.732
S  0.253  0.253  0.732
S  0.241  0.241  0.276
S  0.751  0.228  0.271
S  0.228  0.751  0.271
S  0.751  0.751  0.271
S  0.762  0.762  0.715

=====

(9)
Compound: Li2Ce2ScIn5
Source: Alexandria
Functional: GGA-PBE
Structure: optimized geometry

a = 4.470 Å, b = 10.248 Å, c = 10.248 Å
α = 90.00°, β = 90.00°, γ = 90.00°
Positions (direct):
Li  0.000  0.115  0.615
Li  0.000  0.885  0.385
Li  0.000  0.615  0.885
Li  0.000  0.385  0.115
Ce  0.000  0.680  0.180
Ce  0.000  0.320  0.820
Ce  0.000  0.180  0.320
Ce  0.000  0.820  0.680
Sc  0.000  0.000  0.000
Sc  0.000  0.500  0.500
In  0.500  0.206  0.064
In  0.500  0.794  0.936
In  0.500  0.064  0.794
In  0.500  0.706  0.436
In  0.500  0.936  0.206
In  0.500  0.294  0.564
In  0.500  0.564  0.706
In  0.500  0.436  0.294
In  0.500  0.500  0.000
In  0.500  0.000  0.500

=====

(10)
Compound: LiCeSc2In4
Source: Alexandria
Functional: GGA-PBE
Structure: optimized geometry

a = 5.070 Å, b = 5.070 Å, c = 9.091 Å
α = 73.81°, β = 73.81°, γ = 60.00°
Positions (direct):
Li  0.500  0.500  0.500
Ce  0.000  0.000  0.000
Sc  0.752  0.752  0.743
Sc  0.248  0.248  0.257
In  0.382  0.382  0.855
In  0.871  0.871  0.388
In  0.129  0.129  0.612
In  0.618  0.618  0.145

=====

(11)
Compound: Li2CeInSe4
Source: Alexandria
Functional: GGA-PBE
Structure: optimized geometry

Computed properties:
- energy relative to the elements, uncorrected (meV per atom) = -1190

a = 5.726 Å, b = 5.726 Å, c = 7.089 Å
α = 113.80°, β = 113.80°, γ = 90.04°
Positions (direct):
Li  0.250  0.750  0.500
Li  0.000  0.000  0.000
Ce  0.500  0.500  0.000
In  0.750  0.250  0.500
Se  0.004  0.504  0.009
Se  0.496  0.996  0.991
Se  0.750  0.750  0.500
Se  0.250  0.250  0.500

=====

(12)
Compound: Li2CeSm2In2
Source: Alexandria
Functional: GGA-PBE
Structure: optimized geometry

a = 4.993 Å, b = 4.993 Å, c = 9.068 Å
α = 74.02°, β = 74.02°, γ = 60.00°
Positions (direct):
Li  0.606  0.606  0.183
Li  0.394  0.394  0.817
Ce  0.000  0.000  0.000
Sm  0.127  0.127  0.620
Sm  0.873  0.873  0.380
In  0.736  0.736  0.792
In  0.264  0.264  0.208

=====

| no. | calculated density (g/cm3) | raw total energy (eV per atom) |
| --- | --- | --- |
| 1 | 6.85 | -3.604 |
| 2 | 6.00 | -3.741 |
| 3 | 5.82 | -3.759 |
| 4 | 9.43 | -4.828 |
| 5 | 8.80 | -6.292 |
| 6 | 7.72 | -4.953 |
| 7 | 7.76 | -5.199 |
| 8 | 4.18 | -4.577 |
| 9 | 6.46 | -3.910 |
| 10 | 6.03 | -4.282 |
| 11 | 5.09 | -4.495 |
| 12 | 6.12 | -3.726 |